Density functional theory data (PBE) for NaZnAs after structural relaxation.

Lattice parameters (Å, degrees): 4.6368 4.1893 4.1893 120.00 90.00 90.00
Last column: nearest neighbours and their distance in Å.
Sites, in units of the cell vectors:
As  0.1663  0.0000  0.0000  3 Zn 2.42
Zn  0.1670  0.3333  0.6667  3 As 2.42
Na  0.6667  0.6667  0.3333  6 As 3.35, 6 Zn 3.35

Output
D(E_F)   0.36 states/eV/cell
Symmetry   P-6m2 (187)
Raw total energy   -2.80 eV per atom
V   23.491 Å³ per atom
DFT formation energy   -0.38 eV/atom
Total magnetization   0.00 μB/atom

---

Density functional theory data (PBE) for Ac2Si7Ni12 after structural relaxation.

Lattice parameters (Å, degrees): 3.8470 9.3444 9.3444 120.00 90.00 90.00
Last column: nearest neighbours and their distance in Å.
Sites, in units of the cell vectors:
Si  0.0000  0.3333  0.6667  9 Ni 2.22-2.48
Ni  0.0000  0.7906  0.7171  4 Si 2.33-2.49, 1 Ni 2.54
Ni  0.5000  0.3870  0.3076  4 Si 2.42-2.51, 5 Ni 2.57-2.70
Ni  0.5000  0.5265  0.7622  5 Si 2.35-2.50, 1 Ni 2.57
Ni  0.5000  0.9206  0.6130  4 Si 2.42-2.51, 5 Ni 2.57-2.70
Ni  0.5000  0.2378  0.7643  5 Si 2.35-2.50, 1 Ni 2.57
Si  0.5000  0.9468  0.3582  7 Ni 2.33-2.51
Ac  0.5000  0.0000  0.0000  9 Ni 3.06-3.31, 6 Si 3.16
Si  0.5000  0.4115  0.0532  7 Ni 2.33-2.51
Si  0.0000  0.7029  0.9282  7 Ni 2.30-2.50
Si  0.5000  0.6418  0.5885  7 Ni 2.33-2.51
Ni  0.0000  0.0588  0.5225  4 Si 2.22-2.35
Ni  0.5000  0.2357  0.4735  5 Si 2.35-2.50, 1 Ni 2.57
Ac  0.0000  0.6667  0.3333  12 Ni 3.16-3.17, 6 Si 3.16
Ni  0.0000  0.9264  0.2094  4 Si 2.33-2.49, 1 Ni 2.54
Ni  0.5000  0.6924  0.0794  4 Si 2.42-2.51, 5 Ni 2.57-2.70
Ni  0.0000  0.2829  0.0736  4 Si 2.33-2.49, 1 Ni 2.54
Ni  0.0000  0.4636  0.9412  4 Si 2.22-2.35
Ni  0.0000  0.4775  0.5364  4 Si 2.22-2.35
Si  0.0000  0.0718  0.7746  7 Ni 2.30-2.50
Si  0.0000  0.2254  0.2971  7 Ni 2.30-2.50

Output
Formation energy from raw total energies   -0.55 eV per atom
D(E_F)   12.47 states/eV/cell
Symmetry   P-6 (174)
Raw total energy   -6.06 eV per atom
V   13.853 Å³ per atom
Total magnetization   0.00 μB/atom

---

Density functional theory data (PBE) for EuEr2Cd after structural relaxation.

Lattice parameters (Å, degrees): 5.4752 5.4752 5.4752 60.00 60.00 60.00
Last column: nearest neighbours and their distance in Å.
Sites, in units of the cell vectors:
Er  0.7500  0.7500  0.7500  4 Cd 3.35, 4 Eu 3.35
Cd  0.5000  0.5000  0.5000  8 Er 3.35
Eu  0.0000  0.0000  0.0000  8 Er 3.35
Er  0.2500  0.2500  0.2500  4 Eu 3.35, 4 Cd 3.35

Output
D(E_F)   4.24 states/eV/cell
Symmetry   Fm-3m (225)
Raw total energy   -5.06 eV per atom
V   29.015 Å³ per atom
DFT formation energy   0.02 eV/atom
Total magnetization   1.79 μB/atom

---

Density functional theory data (PBE) for Sm4DyMg7 after structural relaxation.

Lattice parameters (Å, degrees): 5.7146 10.9441 6.4433 87.44 63.68 74.87
Last column: nearest neighbours and their distance in Å.
Sites, in units of the cell vectors:
Sm  0.6174  0.2203  0.5449  6 Mg 3.13-3.40
Mg  0.6294  0.4969  0.2444  2 Mg 2.95, 2 Sm 3.13-3.24
Mg  0.3706  0.5031  0.7556  2 Mg 2.95, 2 Sm 3.13-3.24
Sm  0.3826  0.7797  0.4551  6 Mg 3.13-3.40
Mg  0.2207  0.0771  0.4814  2 Mg 2.83-3.09, 1 Sm 3.13, 1 Dy 3.17
Mg  0.7793  0.9229  0.5186  2 Mg 2.83-3.09, 1 Sm 3.13, 1 Dy 3.17
Mg  0.9282  0.3159  0.8277  2 Mg 2.95-3.09
Dy  0.0000  0.0000  0.0000  4 Mg 2.86-3.17
Mg  0.0718  0.6841  0.1723  2 Mg 2.95-3.09
Mg  0.5000  0.0000  0.0000  2 Mg 2.83, 2 Dy 2.86
Sm  0.2348  0.3326  0.1979  7 Mg 3.24-3.60
Sm  0.7652  0.6674  0.8021  7 Mg 3.24-3.60

Output
D(E_F)   13.72 states/eV/cell
Symmetry   C2/m (12)
Raw total energy   -2.76 eV per atom
V   28.956 Å³ per atom
DFT formation energy   0.13 eV/atom
Total magnetization   0.00 μB/atom

---

Density functional theory data (PBE) for GaHRu3 after structural relaxation.

Lattice parameters (Å, degrees): 4.6441 4.6441 4.6441 90.00 90.00 90.00
Last column: nearest neighbours and their distance in Å.
Sites, in units of the cell vectors:
Ru  0.0000  0.0000  0.5000  2 Ga 2.32
Ru  0.5000  0.0000  0.0000  2 Ga 2.32
H  0.5000  0.5000  0.5000  12 Ru 3.28
Ga  0.0000  0.0000  0.0000  6 Ru 2.32
Ru  0.0000  0.5000  0.0000  2 Ga 2.32

Output
D(E_F)   4.50 states/eV/cell
Symmetry   Pm-3m (221)
Raw total energy   -4.80 eV per atom
V   20.032 Å³ per atom
Total magnetization   1.19 μB/atom

---

Density functional theory data (PBE) for ReSi2BW after structural relaxation.

Lattice parameters (Å, degrees): 4.6499 4.0290 4.6499 90.00 90.00 90.00
Last column: nearest neighbours and their distance in Å.
Sites, in units of the cell vectors:
Si  0.0000  0.0000  0.5000  2 Re 2.32
Si  0.5000  0.0000  0.0000  2 Re 2.32
W  0.5000  0.5000  0.5000  8 Si 3.08, 4 B 3.29
B  0.0000  0.5000  0.0000  2 Re 2.01
Re  0.0000  0.0000  0.0000  2 B 2.01

Output
Formation energy from raw total energies   1.51 eV per atom
D(E_F)   5.33 states/eV/cell
Symmetry   P4/mmm (123)
Raw total energy   -7.08 eV per atom
V   17.422 Å³ per atom
Total magnetization   0.59 μB/atom

---

Density functional theory data (PBE) for VZn4Cd after structural relaxation.

Lattice parameters (Å, degrees): 5.1402 5.1402 5.1402 60.00 60.00 60.00
Last column: nearest neighbours and their distance in Å.
Sites, in units of the cell vectors:
Cd  0.0000  0.0000  0.0000  12 Zn 3.02, 4 V 3.15
Zn  0.6241  0.1277  0.6241  6 Zn 2.55-2.59
Zn  0.6241  0.6241  0.1277  6 Zn 2.55-2.59
Zn  0.6241  0.6241  0.6241  6 Zn 2.55-2.59
V  0.2500  0.2500  0.2500  12 Zn 3.01, 4 Cd 3.15
Zn  0.1277  0.6241  0.6241  6 Zn 2.55-2.59

Output
D(E_F)   3.98 states/eV/cell
Symmetry   F-43m (216)
Raw total energy   -2.39 eV per atom
V   16.005 Å³ per atom
DFT formation energy   0.14 eV/atom
Total magnetization   0.59 μB/atom

---

Density functional theory data (PBE) for LaHfHgBi2 after structural relaxation.

Lattice parameters (Å, degrees): 6.1369 5.6613 6.1369 90.00 90.00 90.00
Last column: nearest neighbours and their distance in Å.
Sites, in units of the cell vectors:
Bi  0.0000  0.0000  0.5000  2 La 3.07
Hg  0.5000  0.5000  0.5000  8 Bi 4.17, 4 Hf 4.34
Bi  0.5000  0.0000  0.0000  2 La 3.07
Hf  0.0000  0.5000  0.0000  2 La 2.83
La  0.0000  0.0000  0.0000  2 Hf 2.83, 4 Bi 3.07

Output
D(E_F)   5.67 states/eV/cell
Symmetry   P4/mmm (123)
Raw total energy   -3.61 eV per atom
V   42.643 Å³ per atom
DFT formation energy   0.98 eV/atom
Total magnetization   0.00 μB/atom

---

Density functional theory data (PBE) for CaGaB after structural relaxation.

Lattice parameters (Å, degrees): 3.6864 5.2004 6.3113 102.44 90.00 110.76
Last column: nearest neighbours and their distance in Å.
Sites, in units of the cell vectors:
B  0.4194  0.8387  0.5276  1 B 1.68
Ga  0.1880  0.3760  0.3451  3 B 2.28-2.35
Ga  0.8120  0.6240  0.6549  3 B 2.28-2.35
B  0.5806  0.1613  0.4724  1 B 1.68
Ca  0.1090  0.2180  0.8001  4 B 2.74-2.88, 3 Ga 2.82-2.99
Ca  0.8910  0.7820  0.1999  4 B 2.74-2.88, 3 Ga 2.82-2.99

Output
D(E_F)   1.45 states/eV/cell
Symmetry   C2/m (12)
Raw total energy   -4.04 eV per atom
V   18.349 Å³ per atom
DFT formation energy   -0.14 eV/atom
Total magnetization   0.00 μB/atom

---

Density functional theory data (PBE) for TmTh3Co8 after structural relaxation.

Lattice parameters (Å, degrees): 5.0793 5.0793 8.8160 73.26 73.26 60.00
Last column: nearest neighbours and their distance in Å.
Sites, in units of the cell vectors:
Co  0.9383  0.4356  0.1906  6 Co 2.51-2.57
Th  0.9973  0.9973  0.0082  12 Co 2.96-3.06, 1 Tm 3.08, 3 Th 3.15
Co  0.4356  0.9383  0.1906  6 Co 2.51-2.57
Th  0.5027  0.5027  0.4919  12 Co 2.91-3.00, 3 Tm 3.08, 1 Th 3.15
Tm  0.8737  0.8737  0.3790  12 Co 2.94-2.98, 4 Th 3.08
Co  0.9384  0.4384  0.6849  6 Co 2.54-2.56
Th  0.3764  0.3764  0.8707  12 Co 2.97-3.03, 4 Th 3.15
Co  0.6874  0.6874  0.9379  6 Co 2.56-2.57
Co  0.4356  0.4356  0.1906  6 Co 2.51-2.57
Co  0.9384  0.9384  0.6849  6 Co 2.54-2.56
Co  0.1880  0.1880  0.4359  6 Co 2.51-2.54
Co  0.4384  0.9384  0.6849  6 Co 2.54-2.56

Output
D(E_F)   15.79 states/eV/cell
Symmetry   R3m (160)
Raw total energy   -7.17 eV per atom
V   15.480 Å³ per atom
DFT formation energy   -0.21 eV/atom
Total magnetization   0.00 μB/atom

---

Density functional theory data (PBE) for SmHoCu3 after structural relaxation.

Lattice parameters (Å, degrees): 3.6938 4.3004 12.8349 90.00 98.27 90.00
Last column: nearest neighbours and their distance in Å.
Sites, in units of the cell vectors:
Cu  0.3264  0.7500  0.6528  2 Cu 2.55
Sm  0.0720  0.2500  0.1440  12 Cu 3.05-3.17
Ho  0.7954  0.2500  0.5907  7 Cu 2.84-3.09
Cu  0.3803  0.2500  0.7606  3 Cu 2.44-2.55
Cu  0.6736  0.2500  0.3472  2 Cu 2.55
Ho  0.2046  0.7500  0.4093  7 Cu 2.84-3.09
Sm  0.9280  0.7500  0.8560  12 Cu 3.05-3.17
Cu  0.4765  0.2500  0.9530  3 Cu 2.44-2.46
Cu  0.6197  0.7500  0.2394  3 Cu 2.44-2.55
Cu  0.5235  0.7500  0.0470  3 Cu 2.44-2.46

Output
D(E_F)   6.82 states/eV/cell
Symmetry   Cmcm (63)
Raw total energy   -4.56 eV per atom
V   20.176 Å³ per atom
DFT formation energy   -0.24 eV/atom
Total magnetization   0.00 μB/atom

---

Density functional theory data (PBE) for LiY2Mn after structural relaxation.

Lattice parameters (Å, degrees): 10.3912 10.3912 10.3912 18.86 18.86 18.86
Last column: nearest neighbours and their distance in Å.
Sites, in units of the cell vectors:
Li  0.2500  0.2500  0.2500  6 Li 3.41, 6 Y 3.46
Mn  0.7500  0.7500  0.7500  6 Y 2.99
Y  0.4902  0.4902  0.4902  3 Mn 2.99
Y  0.0098  0.0098  0.0098  3 Mn 2.99

Output
D(E_F)   3.89 states/eV/cell
Symmetry   R-3m (166)
Raw total energy   -5.70 eV per atom
V   25.623 Å³ per atom
DFT formation energy   0.30 eV/atom
Total magnetization   0.80 μB/atom

---

Density functional theory data (PBE) for PrMn6 after structural relaxation.

Lattice parameters (Å, degrees): 5.3061 5.3061 5.3061 109.47 109.47 109.47
Last column: nearest neighbours and their distance in Å.
Sites, in units of the cell vectors:
Pr  0.0000  0.0000  0.0000  24 Mn 3.43
Mn  0.2500  0.5000  0.7500  4 Mn 2.17
Mn  0.2500  0.7500  0.5000  4 Mn 2.17
Mn  0.5000  0.2500  0.7500  4 Mn 2.17
Mn  0.5000  0.7500  0.2500  4 Mn 2.17
Mn  0.7500  0.2500  0.5000  4 Mn 2.17
Mn  0.7500  0.5000  0.2500  4 Mn 2.17

Output
D(E_F)   6.67 states/eV/cell
Symmetry   Im-3m (229)
Raw total energy   -7.89 eV per atom
V   16.429 Å³ per atom
DFT formation energy   0.65 eV/atom
Total magnetization   0.00 μB/atom